LiBeNiIr after structural relaxation. Source: Alexandria, functional GGA-PBE.

a b c (Å): 3.9146 3.9146 3.9146
angles (deg): 60.00 60.00 60.00
Positions (direct):
Be (0.0000, 0.0000, 0.0000)
Ir (0.7500, 0.7500, 0.7500)
Ni (0.2500, 0.2500, 0.2500)
Li (0.5000, 0.5000, 0.5000)

Uncorrected energy in eV per formula unit: -21.1
Formation energy from the elements in eV/atom: -0.209
Volume in A^3/atom: 10.60

CaScPd3 after structural relaxation. Source: Alexandria, functional GGA-PBE.

a b c (Å): 4.8635 4.8635 4.8635
angles (deg): 90.00 90.00 90.00
Positions (direct):
Ca (0.5000, 0.5000, 0.5000)
Pd (0.0000, 0.0000, 0.5000)
Pd (0.5000, 0.0000, 0.0000)
Pd (0.0000, 0.5000, 0.0000)
Sc (0.0000, 0.0000, 0.0000)

Uncorrected energy in eV per formula unit: -25.1
Formation energy from the elements in eV/atom: -0.236
Volume in A^3/atom: 23.01

Ac2PmTm after structural relaxation. Source: Alexandria, functional GGA-PBE.

a b c (Å): 6.0096 6.0096 6.0096
angles (deg): 60.00 60.00 60.00
Positions (direct):
Ac (0.2500, 0.2500, 0.2500)
Ac (0.7500, 0.7500, 0.7500)
Pm (0.0000, 0.0000, 0.0000)
Tm (0.5000, 0.5000, 0.5000)

Uncorrected energy in eV per formula unit: -17.0
Formation energy from the elements in eV/atom: 0.104
Volume in A^3/atom: 38.37

Nd2ErPd after structural relaxation. Source: Alexandria, functional GGA-PBE.

a b c (Å): 3.8100 3.8100 9.9092
angles (deg): 78.92 78.92 60.00
Positions (direct):
Nd (0.2659, 0.2659, 0.2022)
Nd (0.0674, 0.0674, 0.7977)
Pd (0.6669, 0.6669, 0.9992)
Er (0.4997, 0.4997, 0.5009)

Uncorrected energy in eV per formula unit: -20.2
Formation energy from the elements in eV/atom: -0.226
Volume in A^3/atom: 30.37

> formation energy from the elements of number 1 (LiBeNiIr)?

-0.209 eV/atom

Repeat the fourth record exactly.
Nd2ErPd after structural relaxation. Source: Alexandria, functional GGA-PBE.

a b c (Å): 3.8100 3.8100 9.9092
angles (deg): 78.92 78.92 60.00
Positions (direct):
Nd (0.2659, 0.2659, 0.2022)
Nd (0.0674, 0.0674, 0.7977)
Pd (0.6669, 0.6669, 0.9992)
Er (0.4997, 0.4997, 0.5009)

Uncorrected energy in eV per formula unit: -20.2
Formation energy from the elements in eV/atom: -0.226
Volume in A^3/atom: 30.37

> Among the records above, which one has the highest volume?

Ac2PmTm